The following is a PBE with a Hubbard U calculation of crystalline TiWN2O at its relaxed geometry, from the Alexandria database.

Raw total energy = -7.534 eV per atom

Cell lengths 3.991, 3.991, 3.688 Å; angles 90.00, 90.00, 90.00 degrees
Element x y z (fractional)
Ti (0.000, 0.000, 0.000)
W (0.500, 0.500, 0.500)
N (0.000, 0.500, 0.000)
N (0.500, 0.000, 0.000)
O (0.000, 0.000, 0.500)